No. 1
A geometry-optimized CoRuO4 structure. Source: Alexandria, functional GGA+U.

Output
- space group = No. 30
- calculated total energy (Ry per atom) = -0.4819
- mass density (g cm⁻³) = 5.91
- density of states at the Fermi level (states/eV/cell) = 7.5
- crystal system = orthorhombic

a = 5.0505 Å, b = 4.4275 Å, c = 5.6278 Å
α = 90.00°, β = 90.00°, γ = 90.00°
With the nearest neighbours (Å) after each atom.
Atoms (fractional coordinates):
1 Co 0.0000 0.0000 0.0000  6 O 1.98-2.07
2 Co 0.0000 0.5000 0.5000  6 O 1.98-2.07
3 Ru 0.5000 0.0000 0.3096  6 O 1.90-2.01
4 Ru 0.5000 0.5000 0.8096  6 O 1.90-2.01
5 O 0.1842 0.2284 0.2748  1 Ru 1.90, 2 Co 1.98-2.07
6 O 0.1842 0.2716 0.7748  1 Ru 1.90, 2 Co 1.98-2.07
7 O 0.3384 0.7443 0.5459  2 Ru 1.93-2.01, 1 Co 2.04
8 O 0.3384 0.7557 0.0459  2 Ru 1.93-2.01, 1 Co 2.04
9 O 0.6616 0.2443 0.0459  2 Ru 1.93-2.01, 1 Co 2.04
10 O 0.6616 0.2557 0.5459  2 Ru 1.93-2.01, 1 Co 2.04
11 O 0.8158 0.7284 0.7748  1 Ru 1.90, 2 Co 1.98-2.07
12 O 0.8158 0.7716 0.2748  1 Ru 1.90, 2 Co 1.98-2.07

---

No. 2
A geometry-optimized Cs2FeO4 structure. Source: Alexandria, functional GGA+U.

Output
- space group = No. 62
- calculated total energy (Ry per atom) = -0.3682
- mass density (g cm⁻³) = 4.14
- crystal system = orthorhombic

a = 8.5639 Å, b = 6.3749 Å, c = 11.3361 Å
α = 90.00°, β = 90.00°, γ = 90.00°
With the nearest neighbours (Å) after each atom.
Atoms (fractional coordinates):
1 Cs 0.0120 0.2500 0.1935  7 O 3.04-3.25
2 Cs 0.1653 0.7500 0.4113  10 O 3.22-3.58
3 Cs 0.3347 0.2500 0.9113  10 O 3.22-3.58
4 Cs 0.4880 0.7500 0.6935  7 O 3.04-3.25
5 Cs 0.5120 0.2500 0.3065  7 O 3.04-3.25
6 Cs 0.6653 0.7500 0.0887  10 O 3.22-3.58
7 Cs 0.8347 0.2500 0.5887  10 O 3.22-3.58
8 Cs 0.9880 0.7500 0.8065  7 O 3.04-3.25
9 Fe 0.2353 0.7500 0.0811  4 O 1.66-1.67
10 Fe 0.2647 0.2500 0.5811  4 O 1.66-1.67
11 Fe 0.7353 0.7500 0.4189  4 O 1.66-1.67
12 Fe 0.7647 0.2500 0.9189  4 O 1.66-1.67
13 O 0.0418 0.7500 0.0870  1 Fe 1.66
14 O 0.1950 0.0362 0.6472  1 Fe 1.67
15 O 0.1950 0.4638 0.6472  1 Fe 1.67
16 O 0.2045 0.2500 0.4409  1 Fe 1.67
17 O 0.2955 0.7500 0.9409  1 Fe 1.67
18 O 0.3050 0.5362 0.1472  1 Fe 1.67
19 O 0.3050 0.9638 0.1472  1 Fe 1.67
20 O 0.4582 0.2500 0.5870  1 Fe 1.66
21 O 0.5418 0.7500 0.4130  1 Fe 1.66
22 O 0.6950 0.0362 0.8528  1 Fe 1.67
23 O 0.6950 0.4638 0.8528  1 Fe 1.67
24 O 0.7045 0.2500 0.0591  1 Fe 1.67
25 O 0.7955 0.7500 0.5591  1 Fe 1.67
26 O 0.8050 0.5362 0.3528  1 Fe 1.67
27 O 0.8050 0.9638 0.3528  1 Fe 1.67
28 O 0.9582 0.2500 0.9130  1 Fe 1.66